1.
The following is a meta-GGA SCAN calculation of a PBEsol-optimized structure of SbAs2Pt2, from the Alexandria database.

Summary:
- spin magnetization (μB/f.u.) = 0.0
- raw formation energy (eV/atom) = -0.04
- raw total energy (eV/cell) = -436.5

Geometry as CIF:
```
data_SbAs2Pt2
_chemical_formula_sum 'Sb2 As4 Pt4'
_space_group_name_H-M_alt 'I 4/m m m'
_space_group_IT_number 139
_space_group_name_Hall '-I 4 2'
_cell_length_a 3.8120
_cell_length_b 3.8120
_cell_length_c 13.5692
_cell_angle_alpha 90.00
_cell_angle_beta 90.00
_cell_angle_gamma 90.00
loop_
_atom_site_label
_atom_site_type_symbol
_atom_site_fract_x
_atom_site_fract_y
_atom_site_fract_z
Sb1 Sb 0.0000 0.0000 0.0000
As1 As 0.0000 0.0000 0.3772
Pt1 Pt 0.0000 0.5000 0.2500
```

=====

2.
The following is a meta-GGA SCAN calculation of a PBEsol-optimized structure of SnSCl2, from the Alexandria database.

Summary:
- spin magnetization (μB/f.u.) = 0.7
- raw formation energy (eV/atom) = -0.23
- raw total energy (eV/cell) = -249.7

Geometry as CIF:
```
data_SnSCl2
_chemical_formula_sum 'Sn4 S4 Cl8'
_space_group_name_H-M_alt 'I -4 2 d'
_space_group_IT_number 122
_space_group_name_Hall 'I -4 2bw'
_cell_length_a 9.4245
_cell_length_b 9.4245
_cell_length_c 4.9670
_cell_angle_alpha 90.00
_cell_angle_beta 90.00
_cell_angle_gamma 90.00
loop_
_atom_site_label
_atom_site_type_symbol
_atom_site_fract_x
_atom_site_fract_y
_atom_site_fract_z
Sn1 Sn 0.0000 0.0000 0.0000
S1 S 0.0000 0.0000 0.5000
Cl1 Cl 0.1102 0.7500 0.1250
```

=====

3.
The following is a meta-GGA SCAN calculation of a PBEsol-optimized structure of CuTe, from the Alexandria database.

Summary:
- spin magnetization (μB/f.u.) = 0.0
- raw formation energy (eV/atom) = 0.18
- raw total energy (eV/cell) = -208.3

Geometry as CIF:
```
data_CuTe
_chemical_formula_sum 'Cu4 Te4'
_space_group_name_H-M_alt 'I m m a'
_space_group_IT_number 74
_space_group_name_Hall '-I 2b 2'
_cell_length_a 3.5738
_cell_length_b 3.7449
_cell_length_c 12.1675
_cell_angle_alpha 90.00
_cell_angle_beta 90.00
_cell_angle_gamma 90.00
loop_
_atom_site_label
_atom_site_type_symbol
_atom_site_fract_x
_atom_site_fract_y
_atom_site_fract_z
Cu1 Cu 0.0000 0.2500 0.0659
Te1 Te 0.0000 0.2500 0.6345
```

=====

4.
The following is a meta-GGA SCAN calculation of a PBEsol-optimized structure of ZrAl2Tc2, from the Alexandria database.

Summary:
- formation enthalpy at 0 K (eV per atom) = -0.4549
- spin magnetization (μB/f.u.) = 0.0
- raw total energy (eV/cell) = -237.2

Geometry as CIF:
```
data_ZrAl2Tc2
_chemical_formula_sum 'Zr2 Al4 Tc4'
_space_group_name_H-M_alt 'P 4/m b m'
_space_group_IT_number 127
_space_group_name_Hall '-P 4 2ab'
_cell_length_a 7.0441
_cell_length_b 7.0441
_cell_length_c 3.1266
_cell_angle_alpha 90.00
_cell_angle_beta 90.00
_cell_angle_gamma 90.00
loop_
_atom_site_label
_atom_site_type_symbol
_atom_site_fract_x
_atom_site_fract_y
_atom_site_fract_z
Zr1 Zr 0.0000 0.0000 0.0000
Al1 Al 0.1271 0.3729 0.0000
Tc1 Tc 0.1674 0.6674 0.5000
```

=====

5.
The following is a meta-GGA SCAN calculation of a PBEsol-optimized structure of TlCdPt2, from the Alexandria database.

Summary:
- formation enthalpy at 0 K (eV per atom) = 0.0376
- spin magnetization (μB/f.u.) = 0.0
- raw total energy (eV/cell) = -486.0

Geometry as CIF:
```
data_TlCdPt2
_chemical_formula_sum 'Tl2 Cd2 Pt4'
_space_group_name_H-M_alt 'C 1 2/m 1'
_space_group_IT_number 12
_cell_length_a 8.9466
_cell_length_b 3.0880
_cell_length_c 5.2861
_cell_angle_alpha 90.00
_cell_angle_beta 101.37
_cell_angle_gamma 90.00
loop_
_space_group_symop_operation_xyz
'x,y,z'
'-x,-y,-z'
'-x,y,-z'
'x,-y,z'
'x+1/2,y+1/2,z'
'-x+1/2,-y+1/2,-z'
'-x+1/2,y+1/2,-z'
'x+1/2,-y+1/2,z'
loop_
_atom_site_label
_atom_site_type_symbol
_atom_site_fract_x
_atom_site_fract_y
_atom_site_fract_z
Tl1 Tl 0.0000 0.0000 0.0000
Cd1 Cd 0.0000 0.5000 0.5000
Pt1 Pt 0.2476 0.0000 0.7412
```

=====

6.
The following is a meta-GGA SCAN calculation of a PBEsol-optimized structure of AsRuCl2, from the Alexandria database.

Summary:
- spin magnetization (μB/f.u.) = 0.0
- raw formation energy (eV/atom) = -0.44
- raw total energy (eV/cell) = -145.5

Geometry as CIF:
```
data_AsRuCl2
_chemical_formula_sum 'As2 Ru2 Cl4'
_space_group_name_H-M_alt 'C 1 m 1'
_space_group_IT_number 8
_cell_length_a 6.7261
_cell_length_b 3.1726
_cell_length_c 7.8687
_cell_angle_alpha 90.00
_cell_angle_beta 94.16
_cell_angle_gamma 90.00
loop_
_space_group_symop_operation_xyz
'x,y,z'
'x,-y,z'
'x+1/2,y+1/2,z'
'x+1/2,-y+1/2,z'
loop_
_atom_site_label
_atom_site_type_symbol
_atom_site_fract_x
_atom_site_fract_y
_atom_site_fract_z
As1 As 0.0000 0.0000 0.0000
Ru1 Ru 0.1862 0.5000 0.8489
Cl1 Cl 0.0316 0.0000 0.2747
Cl2 Cl 0.3660 0.0000 0.6592
```